# PBE-GGA Ho3Mg2Al2, optimized geometry
# Space-group type: No. 65
# Total moment (μB/f.u.): 0.00
# Volume (A^3/atom): 24.68
# Formation energy (meV per atom): -252
# Uncorrected energy (eV/atom): -3.7391
data_Ho3Mg2Al2
_cell_length_a 4.418
_cell_length_b 3.529
_cell_length_c 11.296
_cell_angle_alpha 90.00
_cell_angle_beta 78.72
_cell_angle_gamma 90.00
_space_group_name_H-M_alt 'P 1'
_space_group_IT_number 1
loop_
_space_group_symop_operation_xyz
'x,y,z'
loop_
_atom_site_label
_atom_site_fract_x
_atom_site_fract_y
_atom_site_fract_z
_atom_site_occupancy
Mg1 0.419 0.500 0.162 1
Ho1 0.163 0.000 0.674 1
Ho2 0.000 0.000 0.000 1
Ho3 0.837 0.000 0.326 1
Mg2 0.581 0.500 0.838 1
Al1 0.718 0.500 0.564 1
Al2 0.282 0.500 0.436 1

# PBE-GGA Ho8Mg2Al, optimized geometry
# Space-group type: No. 12
# Total moment (μB/f.u.): 0.00
# Volume (A^3/atom): 28.74
# Formation energy (meV per atom): -9
# Uncorrected energy (eV/atom): -3.9680
data_Ho8Mg2Al
_cell_length_a 5.299
_cell_length_b 7.049
_cell_length_c 9.251
_cell_angle_alpha 106.54
_cell_angle_beta 106.64
_cell_angle_gamma 90.00
_space_group_name_H-M_alt 'P 1'
_space_group_IT_number 1
loop_
_space_group_symop_operation_xyz
'x,y,z'
loop_
_atom_site_label
_atom_site_fract_x
_atom_site_fract_y
_atom_site_fract_z
_atom_site_occupancy
Ho1 0.809 0.729 0.619 1
Ho2 0.021 0.770 0.041 1
Ho3 0.405 0.552 0.810 1
Al1 0.500 0.000 0.000 1
Ho4 0.191 0.271 0.381 1
Ho5 0.979 0.230 0.959 1
Mg1 0.813 0.299 0.626 1
Mg2 0.187 0.701 0.374 1
Ho6 0.338 0.046 0.676 1
Ho7 0.595 0.448 0.190 1
Ho8 0.662 0.954 0.324 1

# PBE-GGA HoMgAl, optimized geometry
# Space-group type: No. 187
# Total moment (μB/f.u.): 0.00
# Volume (A^3/atom): 23.27
# Formation energy (meV per atom): -243
# Uncorrected energy (eV/atom): -3.5479
data_HoMgAl
_cell_length_a 3.482
_cell_length_b 4.812
_cell_length_c 4.812
_cell_angle_alpha 120.00
_cell_angle_beta 90.00
_cell_angle_gamma 90.00
_space_group_name_H-M_alt 'P 1'
_space_group_IT_number 1
loop_
_space_group_symop_operation_xyz
'x,y,z'
loop_
_atom_site_label
_atom_site_fract_x
_atom_site_fract_y
_atom_site_fract_z
_atom_site_occupancy
Ho1 0.667 0.333 0.667 1
Al1 0.167 0.000 0.000 1
Mg1 0.167 0.667 0.333 1

# PBE-GGA HoMgAl, optimized geometry
# Space-group type: No. 191
# Total moment (μB/f.u.): 0.00
# Volume (A^3/atom): 23.14
# Formation energy (meV per atom): -202
# Uncorrected energy (eV/atom): -3.5065
data_HoMgAl
_cell_length_a 4.804
_cell_length_b 4.805
_cell_length_c 6.945
_cell_angle_alpha 90.00
_cell_angle_beta 90.01
_cell_angle_gamma 60.00
_space_group_name_H-M_alt 'P 1'
_space_group_IT_number 1
loop_
_space_group_symop_operation_xyz
'x,y,z'
loop_
_atom_site_label
_atom_site_fract_x
_atom_site_fract_y
_atom_site_fract_z
_atom_site_occupancy
Al1 0.667 0.167 0.001 1
Ho1 0.000 0.500 0.761 1
Al2 0.333 0.833 0.999 1
Ho2 0.000 0.500 0.239 1
Mg1 0.333 0.833 0.501 1
Mg2 0.667 0.167 0.499 1

# PBE-GGA HoMgAl, optimized geometry
# Space-group type: No. 129
# Total moment (μB/f.u.): 0.00
# Volume (A^3/atom): 23.09
# Formation energy (meV per atom): -168
# Uncorrected energy (eV/atom): -3.4730
data_HoMgAl
_cell_length_a 3.360
_cell_length_b 3.360
_cell_length_c 12.274
_cell_angle_alpha 90.00
_cell_angle_beta 90.00
_cell_angle_gamma 90.00
_space_group_name_H-M_alt 'P 1'
_space_group_IT_number 1
loop_
_space_group_symop_operation_xyz
'x,y,z'
loop_
_atom_site_label
_atom_site_fract_x
_atom_site_fract_y
_atom_site_fract_z
_atom_site_occupancy
Ho1 0.000 0.500 0.275 1
Mg1 0.000 0.500 0.918 1
Mg2 0.500 0.000 0.082 1
Ho2 0.500 0.000 0.725 1
Al1 0.500 0.000 0.441 1
Al2 0.000 0.500 0.559 1

# PBE-GGA Ho7MgAl5, optimized geometry
# Space-group type: No. 8
# Total moment (μB/f.u.): 0.00
# Volume (A^3/atom): 25.29
# Formation energy (meV per atom): -197
# Uncorrected energy (eV/atom): -4.2243
data_Ho7MgAl5
_cell_length_a 6.174
_cell_length_b 7.930
_cell_length_c 7.930
_cell_angle_alpha 79.38
_cell_angle_beta 67.01
_cell_angle_gamma 67.01
_space_group_name_H-M_alt 'P 1'
_space_group_IT_number 1
loop_
_space_group_symop_operation_xyz
'x,y,z'
loop_
_atom_site_label
_atom_site_fract_x
_atom_site_fract_y
_atom_site_fract_z
_atom_site_occupancy
Al1 0.514 0.500 0.995 1
Al2 0.991 0.995 0.499 1
Ho1 0.653 0.345 0.345 1
Ho2 0.273 0.226 0.226 1
Ho3 0.513 0.803 0.172 1
Ho4 0.000 0.669 0.332 1
Ho5 0.513 0.172 0.803 1
Al3 0.753 0.747 0.747 1
Al4 0.991 0.499 0.995 1
Al5 0.514 0.995 0.500 1
Ho6 0.307 0.692 0.692 1
Mg1 0.978 0.025 0.025 1
Ho7 0.000 0.332 0.669 1

# PBE-GGA Ho3MgAl, optimized geometry
# Space-group type: No. 194
# ΔE to the lowest computed polymorph (meV per atom): 344.5
# Total moment (μB/f.u.): 0.00
# Volume (A^3/atom): 28.70
# Formation energy (meV per atom): 150
# Uncorrected energy (eV/atom): -3.6644
data_Ho3MgAl
_cell_length_a 4.926
_cell_length_b 8.201
_cell_length_c 8.201
_cell_angle_alpha 119.99
_cell_angle_beta 90.00
_cell_angle_gamma 90.00
_space_group_name_H-M_alt 'P 1'
_space_group_IT_number 1
loop_
_space_group_symop_operation_xyz
'x,y,z'
loop_
_atom_site_label
_atom_site_fract_x
_atom_site_fract_y
_atom_site_fract_z
_atom_site_occupancy
Al1 0.750 0.667 0.333 1
Al2 0.250 0.333 0.667 1
Ho1 0.750 0.198 0.802 1
Ho2 0.250 0.397 0.198 1
Mg1 0.500 0.000 0.000 1
Mg2 0.000 0.000 0.000 1
Ho3 0.250 0.802 0.603 1
Ho4 0.750 0.603 0.802 1
Ho5 0.750 0.198 0.397 1
Ho6 0.250 0.802 0.198 1

# PBE-GGA Ho4MgAl, optimized geometry
# Space-group type: No. 166
# Total moment (μB/f.u.): 0.00
# Volume (A^3/atom): 31.39
# Formation energy (meV per atom): 209
# Uncorrected energy (eV/atom): -3.7329
data_Ho4MgAl
_cell_length_a 5.070
_cell_length_b 5.072
_cell_length_c 8.948
_cell_angle_alpha 73.56
_cell_angle_beta 73.54
_cell_angle_gamma 60.02
_space_group_name_H-M_alt 'P 1'
_space_group_IT_number 1
loop_
_space_group_symop_operation_xyz
'x,y,z'
loop_
_atom_site_label
_atom_site_fract_x
_atom_site_fract_y
_atom_site_fract_z
_atom_site_occupancy
Mg1 0.000 0.000 0.000 1
Ho1 0.128 0.128 0.615 1
Ho2 0.380 0.380 0.860 1
Ho3 0.620 0.620 0.140 1
Al1 0.500 0.500 0.500 1
Ho4 0.872 0.872 0.385 1

# PBE-GGA Ho3MgAl8, optimized geometry
# Space-group type: No. 156
# Total moment (μB/f.u.): 0.00
# Volume (A^3/atom): 19.74
# Formation energy (meV per atom): -386
# Uncorrected energy (eV/atom): -4.1579
data_Ho3MgAl8
_cell_length_a 5.542
_cell_length_b 5.542
_cell_length_c 8.906
_cell_angle_alpha 90.00
_cell_angle_beta 90.00
_cell_angle_gamma 120.00
_space_group_name_H-M_alt 'P 1'
_space_group_IT_number 1
loop_
_space_group_symop_operation_xyz
'x,y,z'
loop_
_atom_site_label
_atom_site_fract_x
_atom_site_fract_y
_atom_site_fract_z
_atom_site_occupancy
Al1 0.990 0.495 0.749 1
Al2 0.333 0.667 0.502 1
Al3 0.675 0.837 0.251 1
Mg1 0.000 0.000 0.559 1
Ho1 0.667 0.333 0.439 1
Ho2 0.000 0.000 0.933 1
Al4 0.333 0.667 0.997 1
Al5 0.505 0.010 0.749 1
Al6 0.163 0.837 0.251 1
Al7 0.505 0.495 0.749 1
Ho3 0.667 0.333 0.071 1
Al8 0.163 0.325 0.251 1

# PBE-GGA Ho2MgAl3, optimized geometry
# Space-group type: No. 44
# Total moment (μB/f.u.): 0.00
# Volume (A^3/atom): 23.37
# Formation energy (meV per atom): -249
# Uncorrected energy (eV/atom): -3.9116
data_Ho2MgAl3
_cell_length_a 3.758
_cell_length_b 4.625
_cell_length_c 8.600
_cell_angle_alpha 105.60
_cell_angle_beta 102.62
_cell_angle_gamma 90.00
_space_group_name_H-M_alt 'P 1'
_space_group_IT_number 1
loop_
_space_group_symop_operation_xyz
'x,y,z'
loop_
_atom_site_label
_atom_site_fract_x
_atom_site_fract_y
_atom_site_fract_z
_atom_site_occupancy
Ho1 0.857 0.357 0.715 1
Al1 0.698 0.698 0.395 1
Mg1 0.462 0.962 0.925 1
Al2 0.299 0.799 0.598 1
Ho2 0.142 0.142 0.284 1
Al3 0.541 0.541 0.082 1

# PBE-GGA HoMgAl2, optimized geometry
# Space-group type: No. 225
# ΔE to the lowest computed polymorph (meV per atom): 141.7
# Total moment (μB/f.u.): 0.00
# Volume (A^3/atom): 21.11
# Formation energy (meV per atom): -182
# Uncorrected energy (eV/atom): -3.5966
data_HoMgAl2
_cell_length_a 4.924
_cell_length_b 4.924
_cell_length_c 4.924
_cell_angle_alpha 60.00
_cell_angle_beta 60.00
_cell_angle_gamma 60.00
_space_group_name_H-M_alt 'P 1'
_space_group_IT_number 1
loop_
_space_group_symop_operation_xyz
'x,y,z'
loop_
_atom_site_label
_atom_site_fract_x
_atom_site_fract_y
_atom_site_fract_z
_atom_site_occupancy
Ho1 0.500 0.500 0.500 1
Al1 0.750 0.750 0.750 1
Mg1 0.000 0.000 0.000 1
Al2 0.250 0.250 0.250 1

# PBE-GGA HoMgAl2, optimized geometry
# Space-group type: No. 166
# ΔE to the lowest computed polymorph (meV per atom): 163.4
# Total moment (μB/f.u.): 0.00
# Volume (A^3/atom): 22.22
# Formation energy (meV per atom): -160
# Uncorrected energy (eV/atom): -3.5749
data_HoMgAl2
_cell_length_a 4.562
_cell_length_b 4.562
_cell_length_c 5.590
_cell_angle_alpha 65.92
_cell_angle_beta 65.92
_cell_angle_gamma 60.00
_space_group_name_H-M_alt 'P 1'
_space_group_IT_number 1
loop_
_space_group_symop_operation_xyz
'x,y,z'
loop_
_atom_site_label
_atom_site_fract_x
_atom_site_fract_y
_atom_site_fract_z
_atom_site_occupancy
Al1 0.719 0.719 0.843 1
Al2 0.281 0.281 0.157 1
Ho1 0.500 0.500 0.500 1
Mg1 0.000 0.000 0.000 1

Repeat the first record exactly.
# PBE-GGA Ho3Mg2Al2, optimized geometry
# Space-group type: No. 65
# Total moment (μB/f.u.): 0.00
# Volume (A^3/atom): 24.68
# Formation energy (meV per atom): -252
# Uncorrected energy (eV/atom): -3.7391
data_Ho3Mg2Al2
_cell_length_a 4.418
_cell_length_b 3.529
_cell_length_c 11.296
_cell_angle_alpha 90.00
_cell_angle_beta 78.72
_cell_angle_gamma 90.00
_space_group_name_H-M_alt 'P 1'
_space_group_IT_number 1
loop_
_space_group_symop_operation_xyz
'x,y,z'
loop_
_atom_site_label
_atom_site_fract_x
_atom_site_fract_y
_atom_site_fract_z
_atom_site_occupancy
Mg1 0.419 0.500 0.162 1
Ho1 0.163 0.000 0.674 1
Ho2 0.000 0.000 0.000 1
Ho3 0.837 0.000 0.326 1
Mg2 0.581 0.500 0.838 1
Al1 0.718 0.500 0.564 1
Al2 0.282 0.500 0.436 1